Li2Mg8Rh PBE optimized geometry; density = 2.4 Mg/m³; formation energy = -130 meV per atom; density of states at the Fermi level = 0.38 states/eV per atom
1.0
7.1708 -2.3420 0.0000
7.1708 2.3420 0.0000
-3.3834 0.0000 6.4735
Li Mg Rh
2 8 1
direct
0.2270 0.2270 0.1430
0.7730 0.7730 0.8570
0.0466 0.0466 0.2260
0.1274 0.1274 0.6686
0.3281 0.3281 0.5781
0.4049 0.4049 0.0689
0.5951 0.5951 0.9311
0.6719 0.6719 0.4219
0.8726 0.8726 0.3314
0.9534 0.9534 0.7740
0.5000 0.5000 0.5000